1.
DyH4I3O11: optimized geometry, GGA-PBEsol.

Summary:
Electronic total energy in eV per cell: -202.44
DOS at the Fermi energy in states/eV per cell: 0.0
Calculated volume in A^3/atom: 12.392

abc: 6.923 7.176 10.651
angles: 93.75 107.09 108.93
Fractional coordinates of all 38 atoms:
Dy1 0.095 0.414 0.287
Dy2 0.905 0.586 0.713
H1 0.143 0.261 0.890
H2 0.199 0.062 0.878
H3 0.239 0.097 0.365
H4 0.272 0.083 0.220
H5 0.728 0.917 0.780
H6 0.761 0.903 0.635
H7 0.801 0.938 0.122
H8 0.857 0.739 0.110
I1 0.266 0.726 0.053
I2 0.285 0.352 0.666
I3 0.314 0.842 0.567
I4 0.686 0.158 0.433
I5 0.715 0.648 0.334
I6 0.734 0.274 0.947
O1 0.043 0.620 0.120
O2 0.098 0.847 0.630
O3 0.109 0.809 0.912
O4 0.136 0.727 0.395
O5 0.227 0.158 0.283
O6 0.248 0.560 0.754
O7 0.256 0.210 0.878
O8 0.290 0.472 0.518
O9 0.376 0.101 0.531
O10 0.408 0.967 0.162
O11 0.419 0.567 0.247
O12 0.581 0.433 0.753
O13 0.592 0.033 0.838
O14 0.624 0.899 0.469
O15 0.710 0.528 0.482
O16 0.744 0.790 0.122
O17 0.752 0.440 0.246
O18 0.773 0.842 0.717
O19 0.864 0.273 0.605
O20 0.891 0.191 0.088
O21 0.902 0.153 0.370
O22 0.957 0.380 0.880



2.
Dy2Mo3H2Se2O17: optimized geometry, GGA-PBEsol.

Summary:
Electronic total energy in eV per cell: -400.38
Calculated volume in A^3/atom: 12.855

abc: 6.703 7.187 14.061
angles: 90.00 99.35 90.00
Fractional coordinates of all 52 atoms:
Dy1 0.119 0.250 0.036
Dy2 0.245 0.750 0.377
Dy3 0.755 0.250 0.623
Dy4 0.881 0.750 0.964
Mo1 0.292 0.004 0.638
Mo2 0.292 0.496 0.638
Mo3 0.365 0.750 0.833
Mo4 0.635 0.250 0.167
Mo5 0.708 0.504 0.362
Mo6 0.708 0.996 0.362
H1 0.255 0.141 0.852
H2 0.255 0.359 0.852
H3 0.745 0.641 0.148
H4 0.745 0.859 0.148
Se1 0.242 0.250 0.307
Se2 0.297 0.750 0.115
Se3 0.703 0.250 0.885
Se4 0.758 0.750 0.693
O1 0.048 0.074 0.644
O2 0.048 0.426 0.644
O3 0.121 0.750 0.861
O4 0.152 0.572 0.053
O5 0.152 0.928 0.053
O6 0.203 0.250 0.885
O7 0.217 0.750 0.223
O8 0.267 0.568 0.519
O9 0.267 0.932 0.519
O10 0.271 0.750 0.677
O11 0.306 0.250 0.195
O12 0.374 0.504 0.787
O13 0.374 0.996 0.787
O14 0.381 0.059 0.356
O15 0.381 0.441 0.356
O16 0.406 0.250 0.630
O17 0.484 0.250 0.054
O18 0.516 0.750 0.946
O19 0.594 0.750 0.370
O20 0.619 0.559 0.644
O21 0.619 0.941 0.644
O22 0.626 0.004 0.213
O23 0.626 0.496 0.213
O24 0.694 0.750 0.805
O25 0.729 0.250 0.323
O26 0.733 0.068 0.481
O27 0.733 0.432 0.481
O28 0.783 0.250 0.777
O29 0.797 0.750 0.115
O30 0.848 0.072 0.947
O31 0.848 0.428 0.947
O32 0.879 0.250 0.139
O33 0.952 0.574 0.356
O34 0.952 0.926 0.356